<1>
# Y2PdCl GGA-PBE relaxed
# Density = 5.8 g cm⁻³
# Total moment = 5.1 μB per cell
# Crystal system = cubic
# DOS(E_F) = 3.5 states/eV/f.u.
data_Y2PdCl
_space_group_name_H-M_alt 'F m -3 m'
_space_group_IT_number 225
_space_group_name_Hall '-F 4 2 3'
_cell_length_a 7.1459
_cell_length_b 7.1459
_cell_length_c 7.1459
_cell_angle_alpha 90.00
_cell_angle_beta 90.00
_cell_angle_gamma 90.00
loop_
_atom_site_label
_atom_site_type_symbol
_atom_site_fract_x
_atom_site_fract_y
_atom_site_fract_z
_atom_site_occupancy
Y1 Y 0.2500 0.2500 0.2500 1
Pd1 Pd 0.0000 0.0000 0.0000 1
Cl1 Cl 0.0000 0.0000 0.5000 1

<2>
# Y2PdCl GGA-PBE relaxed
# Density = 4.3 g cm⁻³
# Total moment = 0.0 μB per cell
# Crystal system = tetragonal
# DOS(E_F) = 2.1 states/eV/f.u.
data_Y2PdCl
_space_group_name_H-M_alt 'I -4 2 d'
_space_group_IT_number 122
_space_group_name_Hall 'I -4 2bw'
_cell_length_a 6.1679
_cell_length_b 6.1679
_cell_length_c 13.0858
_cell_angle_alpha 90.00
_cell_angle_beta 90.00
_cell_angle_gamma 90.00
loop_
_atom_site_label
_atom_site_type_symbol
_atom_site_fract_x
_atom_site_fract_y
_atom_site_fract_z
_atom_site_occupancy
Y1 Y 0.2420 0.2500 0.1250 1
Pd1 Pd 0.0000 0.0000 0.0000 1
Cl1 Cl 0.0000 0.0000 0.5000 1

It turns out <1> is the most stable, with the second structure 84 meV/atom higher.

<1>
# Y2PdCl2 GGA-PBE relaxed
# Density = 5.6 g cm⁻³
# Total moment = 0.0 μB per cell
# Crystal system = tetragonal
# DOS(E_F) = 3.7 states/eV/f.u.
data_Y2PdCl2
_space_group_name_H-M_alt 'P 4/m b m'
_space_group_IT_number 127
_space_group_name_Hall '-P 4 2ab'
_cell_length_a 8.0263
_cell_length_b 8.0263
_cell_length_c 3.2440
_cell_angle_alpha 90.00
_cell_angle_beta 90.00
_cell_angle_gamma 90.00
loop_
_atom_site_label
_atom_site_type_symbol
_atom_site_fract_x
_atom_site_fract_y
_atom_site_fract_z
_atom_site_occupancy
Y1 Y 0.1777 0.3223 0.0000 1
Pd1 Pd 0.0000 0.0000 0.5000 1
Cl1 Cl 0.1254 0.6254 0.5000 1

<2>
# Y2PdCl2 GGA-PBE relaxed
# Density = 4.0 g cm⁻³
# Total moment = 0.0 μB per cell
# Crystal system = tetragonal
# DOS(E_F) = 2.3 states/eV/f.u.
data_Y2PdCl2
_space_group_name_H-M_alt 'P 4/m m m'
_space_group_IT_number 123
_space_group_name_Hall '-P 4 2'
_cell_length_a 5.3713
_cell_length_b 5.3713
_cell_length_c 5.1625
_cell_angle_alpha 90.00
_cell_angle_beta 90.00
_cell_angle_gamma 90.00
loop_
_atom_site_label
_atom_site_type_symbol
_atom_site_fract_x
_atom_site_fract_y
_atom_site_fract_z
_atom_site_occupancy
Y1 Y 0.0000 0.5000 0.0000 1
Pd1 Pd 0.0000 0.0000 0.0000 1
Cl1 Cl 0.0000 0.0000 0.5000 1
Cl2 Cl 0.5000 0.5000 0.5000 1

<3>
# Y2PdCl2 GGA-PBE relaxed
# Density = 5.0 g cm⁻³
# Total moment = 0.0 μB per cell
# Crystal system = tetragonal
# DOS(E_F) = 2.8 states/eV/f.u.
data_Y2PdCl2
_space_group_name_H-M_alt 'I 4/m m m'
_space_group_IT_number 139
_space_group_name_Hall '-I 4 2'
_cell_length_a 5.1335
_cell_length_b 5.1335
_cell_length_c 8.9226
_cell_angle_alpha 90.00
_cell_angle_beta 90.00
_cell_angle_gamma 90.00
loop_
_atom_site_label
_atom_site_type_symbol
_atom_site_fract_x
_atom_site_fract_y
_atom_site_fract_z
_atom_site_occupancy
Y1 Y 0.0000 0.5000 0.2500 1
Pd1 Pd 0.0000 0.0000 0.0000 1
Cl1 Cl 0.0000 0.0000 0.3399 1

It turns out <1> is the most stable, with the second structure 29 meV/atom higher.

<1>
# YPdCl2 GGA-PBE relaxed
# Density = 4.9 g cm⁻³
# Total moment = 0.0 μB per cell
# Crystal system = tetragonal
# DOS(E_F) = 3.1 states/eV/f.u.
data_YPdCl2
_space_group_name_H-M_alt 'I -4 2 d'
_space_group_IT_number 122
_space_group_name_Hall 'I -4 2bw'
_cell_length_a 4.5368
_cell_length_b 4.5368
_cell_length_c 17.3800
_cell_angle_alpha 90.00
_cell_angle_beta 90.00
_cell_angle_gamma 90.00
loop_
_atom_site_label
_atom_site_type_symbol
_atom_site_fract_x
_atom_site_fract_y
_atom_site_fract_z
_atom_site_occupancy
Y1 Y 0.0000 0.0000 0.0000 1
Pd1 Pd 0.0000 0.0000 0.5000 1
Cl1 Cl 0.2472 0.2500 0.6250 1

<2>
# YPdCl2 GGA-PBE relaxed
# Density = 4.9 g cm⁻³
# Total moment = 0.0 μB per cell
# Crystal system = trigonal
# DOS(E_F) = 3.1 states/eV/f.u.
data_YPdCl2
_space_group_name_H-M_alt 'R -3 m'
_space_group_IT_number 166
_space_group_name_Hall '-R 3 2"'
_cell_length_a 3.5204
_cell_length_b 3.5204
_cell_length_c 25.3501
_cell_angle_alpha 90.00
_cell_angle_beta 90.00
_cell_angle_gamma 120.00
loop_
_atom_site_label
_atom_site_type_symbol
_atom_site_fract_x
_atom_site_fract_y
_atom_site_fract_z
_atom_site_occupancy
Y1 Y 0.0000 0.0000 0.0000 1
Pd1 Pd 0.0000 0.0000 0.5000 1
Cl1 Cl 0.0000 0.0000 0.4062 1

It turns out <1> is the most stable, with the second structure 29 meV/atom higher.

<1>
# Zn2PdCl GGA-PBE relaxed
# Density = 6.5 g cm⁻³
# Total moment = 0.0 μB per cell
# Crystal system = cubic
# DOS(E_F) = 3.8 states/eV/f.u.
data_Zn2PdCl
_space_group_name_H-M_alt 'F m -3 m'
_space_group_IT_number 225
_space_group_name_Hall '-F 4 2 3'
_cell_length_a 6.5301
_cell_length_b 6.5301
_cell_length_c 6.5301
_cell_angle_alpha 90.00
_cell_angle_beta 90.00
_cell_angle_gamma 90.00
loop_
_atom_site_label
_atom_site_type_symbol
_atom_site_fract_x
_atom_site_fract_y
_atom_site_fract_z
_atom_site_occupancy
Zn1 Zn 0.2500 0.2500 0.2500 1
Pd1 Pd 0.0000 0.0000 0.0000 1
Cl1 Cl 0.0000 0.0000 0.5000 1

<2>
# Zn2PdCl GGA-PBE relaxed
# Density = 5.9 g cm⁻³
# Total moment = 0.0 μB per cell
# Crystal system = tetragonal
# DOS(E_F) = 0.9 states/eV/f.u.
data_Zn2PdCl
_space_group_name_H-M_alt 'I -4 2 d'
_space_group_IT_number 122
_space_group_name_Hall 'I -4 2bw'
_cell_length_a 6.7639
_cell_length_b 6.7639
_cell_length_c 6.7396
_cell_angle_alpha 90.00
_cell_angle_beta 90.00
_cell_angle_gamma 90.00
loop_
_atom_site_label
_atom_site_type_symbol
_atom_site_fract_x
_atom_site_fract_y
_atom_site_fract_z
_atom_site_occupancy
Zn1 Zn 0.2459 0.2500 0.1250 1
Pd1 Pd 0.0000 0.0000 0.0000 1
Cl1 Cl 0.0000 0.0000 0.5000 1

It turns out <2> is the most stable, with the second structure 296 meV/atom higher.